[1]
VASP calculation (PBE) on a relaxed Ac6PrIn2 crystal.

```
9
Lattice="4.022 0.000 0.639 1.746 6.863 1.991 0.013 0.138 12.907" Properties=species:S:1:pos:R:3 pbc="T T T"
Ac 3.640 3.628 3.043
Ac 2.140 3.373 12.494
Ac 2.624 5.471 9.447
Ac 5.175 5.012 6.360
Ac 0.605 1.989 9.177
Ac 3.157 1.530 6.090
Pr 0.000 0.000 0.000
In 1.611 0.758 2.837
In 4.169 6.243 12.700
```

Output
DOS at the Fermi energy (states/eV per cell): 11.14
Density (kg/m³): 8098
Total DFT energy (no corrections) (eV/cell): -36.48
Space-group type: C2/m

[2]
VASP calculation (PBE) on a relaxed Ac2Pr3In crystal.

```
6
Lattice="3.757 0.000 0.000 0.000 6.451 0.000 -1.879 -3.226 9.738" Properties=species:S:1:pos:R:3 pbc="T T T"
Ac 1.879 0.000 3.920
Ac 0.000 3.226 5.818
Pr 0.000 0.000 7.229
Pr 0.000 0.000 0.000
Pr 1.879 3.226 2.509
In 0.000 3.226 0.000
```

Output
DOS at the Fermi energy (states/eV per cell): 11.64
Density (kg/m³): 6976
Total DFT energy (no corrections) (eV/cell): -24.63
ΔE to the lowest computed polymorph (meV/atom): 234
Space-group type: Immm

> DOS at the Fermi energy of number 2 (Ac2Pr3In)?

11.64 states/eV per cell